Material: Ti2ZnRh
Method: DFT, PBE-GGA
State: relaxed

Values from the calculation:
The space-group type is No. 71. As for the magnetization: 0.0001 μB/atom. As for the final energy: -5.99 eV/atom. The volume is 18.16 A^3/atom.

Cell: 6.6378 6.6378 6.6378 Å, 154.74 144.29 44.24°
Positions (direct):
Ti: 0.1907 0.1907 0.0000
Ti: 0.8093 0.8093 0.0000
Zn: 0.5000 0.5000 0.0000
Rh: 0.0000 0.0000 0.0000

Material: ScBe3N
Method: DFT, PBE-GGA
State: relaxed

Values from the calculation:
The space-group type is No. 221. As for the magnetization: 0.0001 μB/atom. The value obtained for the energy relative to the lowest polymorph listed for this composition is 2.6660 eV per atom. The volume is 21.97 A^3/atom.

Cell: 4.7889 4.7889 4.7889 Å, 90.00 90.00 90.00°
Positions (direct):
Sc: 0.0000 0.0000 0.0000
Be: 0.0000 0.0000 0.5000
Be: 0.0000 0.5000 0.0000
Be: 0.5000 0.0000 0.0000
N: 0.5000 0.5000 0.5000

Material: TaNb2Pd2
Method: DFT, PBE-GGA
State: relaxed

Values from the calculation:
The space-group type is No. 127. As for the magnetization: 0.0000 μB/atom. The value obtained for the energy relative to the lowest polymorph listed for this composition is 0.0000 eV per atom. The volume is 17.47 A^3/atom.

Cell: 7.9245 7.9245 2.7820 Å, 90.00 90.00 90.00°
Positions (direct):
Ta: 0.0000 0.0000 0.0000
Ta: 0.5000 0.5000 0.0000
Nb: 0.1764 0.3236 0.5000
Nb: 0.3236 0.8236 0.5000
Nb: 0.6764 0.1764 0.5000
Nb: 0.8236 0.6764 0.5000
Pd: 0.1213 0.6213 0.0000
Pd: 0.3787 0.1213 0.0000
Pd: 0.6213 0.8787 0.0000
Pd: 0.8787 0.3787 0.0000

Material: TbNbZn2
Method: DFT, PBE-GGA
State: relaxed

Values from the calculation:
The space-group type is No. 123. As for the magnetization: 0.0005 μB/atom. As for the final energy: -4.38 eV/atom. The volume is 19.24 A^3/atom.

Cell: 3.5151 3.5151 6.2298 Å, 90.00 90.00 90.00°
Positions (direct):
Tb: 0.0000 0.0000 0.0000
Nb: 0.0000 0.0000 0.5000
Zn: 0.5000 0.5000 0.2883
Zn: 0.5000 0.5000 0.7117

Q: Look up the magnetization of the third one.
A: 0.0000 μB/atom